Below is Rb3ReOs after structural relaxation, with properties calculated at the PBE-GGA level.

Lattice parameters (Å, degrees): 6.210 6.210 6.210 90.00 90.00 90.00
Atoms (fractional coordinates):
Os1 0.000 0.000 0.000
Rb1 0.000 0.000 0.500
Rb2 0.000 0.500 0.000
Rb3 0.500 0.000 0.000
Re1 0.500 0.500 0.500

**Relative energy among the computed polymorphs**: 0.00 eV per formula unit
**M_tot**: 4.4 μB per formula unit
**E**: -2.832 eV per atom